(1)
ReTcPd3 after structural relaxation. Source: Alexandria via LeMat-Bulk, functional PBE.

abc: 4.7712 4.7712 4.7712
angles: 90.00 90.00 90.00
Each line ends with the local moment (μB).
Fractional coordinates of all 5 atoms:
1 Pd 0.0000 0.0000 0.5000  -0.13
2 Pd 0.0000 0.5000 0.0000  -0.05
3 Tc 0.5000 0.5000 0.5000  3.39
4 Pd 0.5000 0.0000 0.0000  0.05
5 Re 0.0000 0.0000 0.0000  -0.08

Summary:
ΔH_f (0 K) = 161 kJ per mole of atoms
final energy = -30.033 eV per cell
excess energy over the best structure of this formula in the dataset = 0.00 kcal/mol of atoms
theoretical density = 9.23 g cm⁻³

=====

(2)
Re2TcPd after structural relaxation. Source: Alexandria via LeMat-Bulk, functional PBE.

abc: 3.9202 3.8813 3.8813
angles: 90.00 90.00 90.00
Fractional coordinates of all 4 atoms:
1 Tc 0.5000 0.0000 0.0000
2 Re 0.0000 0.5000 0.0000
3 Pd 0.5000 0.5000 0.5000
4 Re 0.0000 0.0000 0.5000

Summary:
ΔH_f (0 K) = 8 kJ per mole of atoms
final energy = -40.103 eV per cell
excess energy over the best structure of this formula in the dataset = 0.52 kcal/mol of atoms
theoretical density = 16.22 g cm⁻³

=====

(3)
ReTcTe2Pd after structural relaxation. Source: Alexandria via LeMat-Bulk, functional PBE.

abc: 5.1537 4.9053 5.1537
angles: 90.00 90.00 90.00
Each line ends with the local moment (μB).
Fractional coordinates of all 5 atoms:
1 Te 0.0000 0.0000 0.5000  -0.03
2 Re 0.0000 0.0000 0.0000  -0.17
3 Tc 0.5000 0.5000 0.5000  3.51
4 Pd 0.0000 0.5000 0.0000  0.06
5 Te 0.5000 0.0000 0.0000  -0.08

Summary:
E_form (uncorrected) = 7.09 eV per formula unit
final energy = -27.196 eV per cell
theoretical density = 8.23 g cm⁻³

=====

(4)
ReTePd2 after structural relaxation. Source: Alexandria via LeMat-Bulk, functional PBE.

abc: 7.3733 7.3733 5.8608
angles: 51.02 51.02 90.00
Each line ends with the local moment (μB).
Fractional coordinates of all 8 atoms:
1 Te 0.5000 0.5000 0.0000  -0.02
2 Te 0.2500 0.7500 0.5000  -0.02
3 Pd 0.8750 0.8753 0.7500  0.05
4 Pd 0.6253 0.1250 0.2500  0.04
5 Re 0.0000 0.0000 0.0000  0.86
6 Re 0.7500 0.2500 0.5000  0.86
7 Pd 0.1247 0.6250 0.2500  0.05
8 Pd 0.3750 0.3747 0.7500  0.04

Summary:
E_form (uncorrected) = 1.97 eV per formula unit
final energy = -48.012 eV per cell
theoretical density = 12.02 g cm⁻³

=====

(5)
Re2TePd after structural relaxation. Source: Alexandria via LeMat-Bulk, functional PBE.

abc: 5.7463 5.7463 7.1599
angles: 66.34 66.34 90.00
Fractional coordinates of all 8 atoms:
1 Re 0.1498 0.6250 0.2500
2 Pd 0.2500 0.7500 0.5000
3 Re 0.3750 0.3998 0.7500
4 Te 0.0000 0.0000 0.0000
5 Te 0.7500 0.2500 0.5000
6 Re 0.8750 0.8502 0.7500
7 Re 0.6002 0.1250 0.2500
8 Pd 0.5000 0.5000 0.0000

Summary:
E_form (uncorrected) = 6.30 eV per formula unit
final energy = -53.859 eV per cell
theoretical density = 10.35 g cm⁻³

=====

(6)
Ti2ReTePd after structural relaxation. Source: Alexandria via LeMat-Bulk, functional PBE.

abc: 4.7303 4.8270 4.7303
angles: 90.00 90.00 90.00
Fractional coordinates of all 5 atoms:
1 Ti 0.5000 0.0000 0.0000
2 Ti 0.0000 0.0000 0.5000
3 Pd 0.0000 0.0000 0.0000
4 Te 0.5000 0.5000 0.5000
5 Re 0.0000 0.5000 0.0000

Summary:
E_form (uncorrected) = 4.63 eV per formula unit
final energy = -31.943 eV per cell
theoretical density = 7.93 g cm⁻³

=====

(7)
TlReTePd2 after structural relaxation. Source: Alexandria via LeMat-Bulk, functional PBE.

abc: 5.0091 5.0874 5.0091
angles: 90.00 90.00 90.00
Each line ends with the local moment (μB).
Fractional coordinates of all 5 atoms:
1 Tl 0.5000 0.5000 0.5000  0.05
2 Re 0.0000 0.5000 0.0000  2.41
3 Te 0.0000 0.0000 0.0000  -0.01
4 Pd 0.0000 0.0000 0.5000  0.07
5 Pd 0.5000 0.0000 0.0000  0.13

Summary:
E_form (uncorrected) = 4.74 eV per formula unit
final energy = -23.598 eV per cell
theoretical density = 9.51 g cm⁻³

=====

(8)
Th2RePd after structural relaxation. Source: Alexandria via LeMat-Bulk, functional PBE.

abc: 3.5379 3.5379 7.5149
angles: 90.00 90.00 90.00
Fractional coordinates of all 4 atoms:
1 Th 0.0000 0.0000 0.7627
2 Pd 0.5000 0.5000 0.5000
3 Re 0.5000 0.5000 0.0000
4 Th 0.0000 0.0000 0.2373

Summary:
ΔH_f (0 K) = -29 kJ per mole of atoms
final energy = -33.665 eV per cell
theoretical density = 13.36 g cm⁻³